Entry 1:
Below is an optimized crystal structure of CdHg2Te, with properties calculated at the GGA-PBE level.

Summary:
space group = Cmm2
formation energy without anion corrections = 56 meV per atom
DFT total energy = -4.438 eV/cell
total moment = 0.00 μB per cell

Unit cell a=3.112 b=3.112 c=11.960 alpha=90.00 beta=90.00 gamma=100.55
Fractional positions:
Te: 0.000 0.000 0.512
Hg: 0.000 0.000 0.992
Hg: 0.500 0.500 0.241
Cd: 0.500 0.500 0.756

---

Entry 2:
Below is an optimized crystal structure of Pt3AuS, with properties calculated at the GGA-PBE level.

Summary:
space group = Pm-3m
formation energy without anion corrections = 1729 meV per atom
DFT total energy = -16.880 eV/cell
total moment = 0.00 μB per cell

Unit cell a=4.949 b=4.949 c=4.949 alpha=90.00 beta=90.00 gamma=90.00
Fractional positions:
S: 0.500 0.500 0.500
Au: 0.000 0.000 0.000
Pt: 0.000 0.500 0.000
Pt: 0.000 0.000 0.500
Pt: 0.500 0.000 0.000

---

Entry 3:
Below is an optimized crystal structure of CaSe2Br, with properties calculated at the GGA-PBE level.

Summary:
space group = I4/mmm
formation energy without anion corrections = -962 meV per atom
DFT total energy = -14.490 eV/cell
total moment = 0.00 μB per cell

Unit cell a=6.685 b=6.685 c=6.685 alpha=144.75 beta=144.75 gamma=50.70
Fractional positions:
Ca: 0.750 0.250 0.500
Se: 0.000 0.000 0.000
Se: 0.500 0.500 0.000
Br: 0.250 0.750 0.500

---

Q: What is the total moment in the second record?
A: 0.00 μB per cell

---

Q: total moment of number 3 (CaSe2Br)?
A: 0.00 μB per cell

---

Repeat the first record exactly.
Below is an optimized crystal structure of CdHg2Te, with properties calculated at the GGA-PBE level.

Summary:
space group = Cmm2
formation energy without anion corrections = 56 meV per atom
DFT total energy = -4.438 eV/cell
total moment = 0.00 μB per cell

Unit cell a=3.112 b=3.112 c=11.960 alpha=90.00 beta=90.00 gamma=100.55
Fractional positions:
Te: 0.000 0.000 0.512
Hg: 0.000 0.000 0.992
Hg: 0.500 0.500 0.241
Cd: 0.500 0.500 0.756